1.
First-principles (PBE-GGA) data for an optimized crystal structure of Ac2ZnSn, as listed in Alexandria.

Structure (POSCAR):
```
Ac2ZnSn
1.0
6.606 0.000 0.000
0.000 4.517 0.000
-3.131 0.000 8.947
Ac Zn Sn
4 2 2
Direct
0.195 0.250 0.414
0.277 0.750 0.056
0.723 0.250 0.944
0.805 0.750 0.586
0.162 0.250 0.782
0.838 0.750 0.218
0.369 0.750 0.708
0.631 0.250 0.292
```

Results
Uncorrected energy   -30.9 eV per cell
DFT formation energy   -494 meV/atom
Magnetic moment   0.0 μB/cell


2.
First-principles (PBE-GGA) data for an optimized crystal structure of RbTe2Pt, as listed in Alexandria.

Structure (POSCAR):
```
RbTe2Pt
1.0
3.435 -4.888 0.000
3.435 4.888 0.000
0.000 0.000 8.063
Rb Te Pt
2 4 2
Direct
0.000 0.000 0.250
0.000 0.000 0.750
0.325 0.675 0.000
0.325 0.675 0.500
0.675 0.325 0.000
0.675 0.325 0.500
0.500 0.500 0.250
0.500 0.500 0.750
```

Results
Energy relative to the elements, uncorrected   -0.5801 eV per atom
Uncorrected energy   -31.2 eV per cell
Magnetic moment   0.0 μB/cell


3.
First-principles (PBE-GGA) data for an optimized crystal structure of CeHf3Sc6, as listed in Alexandria.

Structure (POSCAR):
```
CeHf3Sc6
1.0
3.257 0.000 0.000
-0.012 11.886 0.000
-0.005 -1.118 12.472
Ce Hf Sc
2 6 12
Direct
0.000 0.037 0.190
0.000 0.963 0.810
0.000 0.174 0.419
0.000 0.373 0.016
0.000 0.627 0.984
0.000 0.826 0.581
0.500 0.331 0.579
0.500 0.669 0.421
0.000 0.237 0.781
0.000 0.763 0.219
0.001 0.433 0.389
0.499 0.855 0.013
0.500 0.073 0.608
0.500 0.277 0.215
0.500 0.466 0.818
0.500 0.534 0.182
0.500 0.723 0.785
0.500 0.927 0.392
0.501 0.145 0.987
0.999 0.567 0.611
```

Results
Uncorrected energy   -146.8 eV per cell
DFT formation energy   39 meV/atom
Magnetic moment   1.9 μB/cell


What is the uncorrected energy in the third record? -146.8 eV per cell